Ac2Ho3Tl4 | PBE | relaxed

Cell: 7.261 17.350 9.204 Å, 90.00 90.00 90.00°
Space group Cmce (No. 64)
One atom of each set of equivalent atoms:
Ac 0.000 0.111 0.080 x8
Ho 0.000 0.000 0.500 x4
Ho 0.250 0.216 0.750 x8
Tl 0.000 0.184 0.458 x8
Tl 0.250 0.040 0.750 x8

E above lowest polymorph   0.0845 eV per atom
Formation enthalpy at 0 K   -0.278 eV/atom